Below is an optimized crystal structure of InSi2Se, with properties calculated at the PBE level.

Properties
- Density: 4.72 g/cm3
- Raw formation energy: 0.277 eV per atom
- Space group: P2/m (10)
- Total magnetization: 0.00 Bohr magnetons per cell
- N(E_F): 1.1 states/eV/cell

Cell lengths 4.807, 3.919, 4.680 Å; angles 86.67, 90.00, 90.00 degrees
Element x y z (fractional)
In: 0.500 0.250 0.250
Si: 0.000 0.993 0.911
Si: 0.000 0.507 0.589
Se: 0.500 0.750 0.750

---

Below is an optimized crystal structure of TmScIrO6, with properties calculated at the PBE level.

Properties
- Density: 7.48 g/cm3
- Raw formation energy: -2.170 eV per atom
- Space group: P-31c (163)
- Total magnetization: 1.14 Bohr magnetons per cell
- N(E_F): 12.4 states/eV/cell

Cell lengths 5.344, 5.344, 9.011 Å; angles 90.00, 90.00, 120.00 degrees
Element x y z (fractional)
O: 0.038 0.357 0.628
Tm: 0.333 0.667 0.250
O: 0.357 0.319 0.372
O: 0.357 0.038 0.128
O: 0.962 0.643 0.372
O: 0.319 0.357 0.872
O: 0.681 0.643 0.128
O: 0.643 0.962 0.872
O: 0.038 0.681 0.872
O: 0.962 0.319 0.128
Ir: 0.333 0.667 0.750
Sc: 0.000 0.000 0.000
Ir: 0.667 0.333 0.250
Sc: 0.000 0.000 0.500
O: 0.319 0.962 0.628
O: 0.681 0.038 0.372
O: 0.643 0.681 0.628
Tm: 0.667 0.333 0.750

---

Below is an optimized crystal structure of Pr2Ho2Tm5, with properties calculated at the PBE level.

Properties
- DFT formation energy: 0.224 eV per atom
- Density: 8.04 g/cm3
- Space group: C2/m (12)
- Total magnetization: 0.00 Bohr magnetons per cell
- N(E_F): 13.1 states/eV/cell
- ΔE to the lowest computed polymorph: 9 meV/atom

Cell lengths 3.469, 8.176, 12.460 Å; angles 120.37, 98.00, 90.00 degrees
Element x y z (fractional)
Ho: 0.546 0.738 0.093
Pr: 0.819 0.779 0.638
Tm: 0.309 0.150 0.619
Tm: 0.000 0.000 0.000
Tm: 0.691 0.850 0.381
Ho: 0.454 0.262 0.907
Tm: 0.095 0.461 0.190
Pr: 0.181 0.221 0.362
Tm: 0.905 0.539 0.810

---

Below is an optimized crystal structure of CSeS2, with properties calculated at the PBE level.

Properties
- Density: 4.06 g/cm3
- Raw formation energy: 1.325 eV per atom
- Space group: R-3m (166)
- Total magnetization: 0.00 Bohr magnetons per cell
- N(E_F): 2.0 states/eV/cell
- ΔE to the lowest computed polymorph: 629 meV/atom

Cell lengths 7.525, 7.525, 7.525 Å; angles 24.31, 24.31, 24.31 degrees
Element x y z (fractional)
S: 0.889 0.889 0.889
C: 0.500 0.500 0.500
S: 0.111 0.111 0.111
Se: 0.000 0.000 0.000

---

Below is an optimized crystal structure of TaMnAu4, with properties calculated at the PBE level.

Properties
- DFT formation energy: 0.405 eV per atom
- Density: 15.24 g/cm3
- Space group: F-43m (216)
- Total magnetization: 2.72 Bohr magnetons per cell
- N(E_F): 5.2 states/eV/cell

Cell lengths 5.404, 5.404, 5.404 Å; angles 60.00, 60.00, 60.00 degrees
Element x y z (fractional)
Au: 0.875 0.375 0.375
Mn: 0.750 0.750 0.750
Ta: 0.000 0.000 0.000
Au: 0.375 0.875 0.375
Au: 0.375 0.375 0.875
Au: 0.375 0.375 0.375

---

Below is an optimized crystal structure of SmY4Ho5, with properties calculated at the PBE level.

Properties
- DFT formation energy: 0.299 eV per atom
- Density: 6.76 g/cm3
- Space group: I4 (79)
- Total magnetization: 0.00 Bohr magnetons per cell
- N(E_F): 14.8 states/eV/cell

Cell lengths 6.328, 7.853, 7.853 Å; angles 80.66, 66.24, 66.24 degrees
Element x y z (fractional)
Ho: 0.805 0.374 0.915
Y: 0.796 0.703 0.610
Y: 0.109 0.297 0.390
Ho: 0.095 0.626 0.085
Ho: 0.179 0.915 0.626
Y: 0.498 0.610 0.297
Y: 0.406 0.390 0.703
Sm: 0.223 0.000 0.000
Ho: 0.721 0.085 0.374
Ho: 0.678 0.000 0.000

---

Below is an optimized crystal structure of LiCe3Nd2Se6, with properties calculated at the PBE level.

Properties
- Density: 6.33 g/cm3
- Raw formation energy: -1.763 eV per atom
- Space group: C2/m (12)
- Total magnetization: 3.20 Bohr magnetons per cell
- N(E_F): 20.7 states/eV/cell

Cell lengths 7.257, 7.257, 7.264 Å; angles 99.63, 99.63, 120.07 degrees
Element x y z (fractional)
Se: 0.598 0.919 0.757
Ce: 0.500 0.500 0.500
Se: 0.919 0.598 0.757
Nd: 0.334 0.666 0.000
Ce: 0.831 0.169 0.500
Li: 0.000 0.000 0.000
Se: 0.081 0.402 0.243
Se: 0.402 0.081 0.243
Se: 0.240 0.240 0.754
Ce: 0.169 0.831 0.500
Nd: 0.666 0.334 0.000
Se: 0.760 0.760 0.246

---

Below is an optimized crystal structure of CuTe3, with properties calculated at the PBE level.

Properties
- Density: 7.13 g/cm3
- Raw formation energy: 0.167 eV per atom
- Space group: P-6m2 (187)
- Total magnetization: 0.00 Bohr magnetons per cell
- N(E_F): 2.6 states/eV/cell

Cell lengths 3.887, 3.887, 7.942 Å; angles 90.00, 90.00, 120.00 degrees
Element x y z (fractional)
Te: 0.667 0.333 0.198
Cu: 0.000 0.000 0.000
Te: 0.000 0.000 0.500
Te: 0.667 0.333 0.802

---

What is the N(E_F) in the fourth record?
2.0 states/eV/cell